No. 1
DFT (PBE) results for an optimized crystal structure of BiRuRhSe2.

Cell: 4.9122 4.9122 4.7455 Å, 90.00 90.00 90.00°
Element x y z (fractional)
Bi 0.0000 0.0000 0.0000
Ru 0.5000 0.5000 0.0000
Rh 0.5000 0.5000 0.5000
Se 0.0000 0.5000 0.5000
Se 0.5000 0.0000 0.5000

Output
The value obtained for the energy relative to the elements, uncorrected is 15.355 kcal/mol of atoms.

No. 2
DFT (PBE) results for an optimized crystal structure of Th3BiRuRh.

Cell: 8.5500 4.2910 9.8963 Å, 90.00 114.65 90.00°
Element x y z (fractional)
Th 0.1569 0.2500 0.1430
Th 0.2374 0.7500 0.4700
Th 0.2956 0.7500 0.8756
Th 0.7044 0.2500 0.1244
Th 0.7626 0.2500 0.5300
Th 0.8431 0.7500 0.8570
Bi 0.4970 0.7500 0.2727
Bi 0.5030 0.2500 0.7273
Ru 0.0652 0.2500 0.8398
Ru 0.9348 0.7500 0.1602
Rh 0.0113 0.7500 0.6095
Rh 0.9887 0.2500 0.3905

Output
For the formation energy from the elements, the calculation gives -0.5994 eV/atom.

No. 3
DFT (PBE) results for an optimized crystal structure of VBiRu2Rh.

Cell: 4.9018 4.9018 4.8526 Å, 90.00 90.00 90.00°
Element x y z (fractional)
V 0.0000 0.0000 0.0000
Bi 0.5000 0.5000 0.5000
Ru 0.0000 0.5000 0.5000
Ru 0.5000 0.0000 0.5000
Rh 0.5000 0.5000 0.0000

Output
For the formation energy from the elements, the calculation gives 2.0912 eV/atom.

No. 4
DFT (PBE) results for an optimized crystal structure of BiRhS2.

Cell: 5.8661 5.8661 5.8661 Å, 109.47 109.47 109.47°
Element x y z (fractional)
Bi 0.2500 0.2500 0.0000
Bi 0.7500 0.7500 0.0000
Rh 0.2500 0.7500 0.5000
Rh 0.7500 0.2500 0.5000
S 0.1745 0.6745 0.8489
S 0.3255 0.1745 0.5000
S 0.6745 0.8255 0.5000
S 0.8255 0.3255 0.1511

Output
The value obtained for the energy relative to the elements, uncorrected is -0.537 kcal/mol of atoms.

No. 5
DFT (PBE) results for an optimized crystal structure of BiRhS2.

Cell: 8.3275 8.3275 8.3275 Å, 24.73 24.73 24.73°
Element x y z (fractional)
Bi 0.0000 0.0000 0.0000
Rh 0.5000 0.5000 0.5000
S 0.1173 0.1173 0.1173
S 0.8827 0.8827 0.8827

Output
The value obtained for the energy relative to the elements, uncorrected is -8.357 kcal/mol of atoms.

No. 6
DFT (PBE) results for an optimized crystal structure of Bi3RhS.

Cell: 5.2562 5.2562 5.2562 Å, 90.00 90.00 90.00°
Element x y z (fractional)
Bi 0.0000 0.0000 0.5000
Bi 0.0000 0.5000 0.0000
Bi 0.5000 0.0000 0.0000
Rh 0.5000 0.5000 0.5000
S 0.0000 0.0000 0.0000

Output
Its distance to the lowest polymorph of the same formula is 0.337 eV per atom. The value obtained for the energy relative to the elements, uncorrected is 17.634 kcal/mol of atoms.

No. 7
DFT (PBE) results for an optimized crystal structure of BiRhS2.

Cell: 7.8632 7.8632 7.8632 Å, 28.07 28.07 28.07°
Element x y z (fractional)
Bi 0.0000 0.0000 0.0000
Rh 0.4887 0.4887 0.4887
S 0.1307 0.1307 0.1307
S 0.5887 0.5887 0.5887

Output
The value obtained for the energy relative to the elements, uncorrected is -2.436 kcal/mol of atoms.

No. 8
DFT (PBE) results for an optimized crystal structure of BiRhS2.

Cell: 5.4510 5.4510 6.4059 Å, 107.62 107.62 80.12°
Element x y z (fractional)
Bi 0.0248 0.9752 0.7500
Bi 0.9752 0.0248 0.2500
Rh 0.3891 0.6109 0.2500
Rh 0.6109 0.3891 0.7500
S 0.2230 0.4519 0.8540
S 0.4519 0.2230 0.3540
S 0.5481 0.7770 0.6460
S 0.7770 0.5481 0.1460

Output
The value obtained for the energy relative to the elements, uncorrected is -3.504 kcal/mol of atoms.

No. 9
DFT (PBE) results for an optimized crystal structure of BiRhS2.

Cell: 6.1933 6.1933 7.8313 Å, 100.15 100.15 35.52°
Element x y z (fractional)
Bi 0.0000 0.0000 0.0000
Bi 0.2172 0.2172 0.5987
Rh 0.4180 0.4180 0.4552
Rh 0.6629 0.6629 0.1093
S 0.6021 0.6021 0.3708
S 0.7477 0.7477 0.8632
S 0.8569 0.8569 0.2674
S 0.9802 0.9802 0.6369

Output
The value obtained for the energy relative to the elements, uncorrected is -7.407 kcal/mol of atoms.

No. 10
DFT (PBE) results for an optimized crystal structure of BiRhS2.

Cell: 3.5430 6.1449 8.6038 Å, 69.76 78.12 73.43°
Element x y z (fractional)
Bi 0.0000 0.0000 0.0000
Bi 0.1405 0.3541 0.3609
Rh 0.0660 0.4686 0.8456
Rh 0.5258 0.8866 0.5150
S 0.1349 0.8335 0.3400
S 0.4486 0.5203 0.0208
S 0.6695 0.4580 0.6596
S 0.9327 0.8977 0.7009

Output
The value obtained for the energy relative to the elements, uncorrected is -6.512 kcal/mol of atoms.

No. 11
DFT (PBE) results for an optimized crystal structure of BiRhS2.

Cell: 7.8174 7.8174 12.0686 Å, 104.29 104.29 86.92°
Element x y z (fractional)
Bi 0.1711 0.7856 0.8964
Bi 0.1891 0.3468 0.8801
Bi 0.2144 0.8289 0.6036
Bi 0.3468 0.1891 0.3801
Bi 0.6532 0.8109 0.6199
Bi 0.7856 0.1711 0.3964
Bi 0.8109 0.6532 0.1199
Bi 0.8289 0.2144 0.1036
Rh 0.0593 0.7272 0.3531
Rh 0.2728 0.9407 0.1469
Rh 0.2885 0.4588 0.2601
Rh 0.4588 0.2885 0.7601
Rh 0.5412 0.7115 0.2399
Rh 0.7115 0.5412 0.7399
Rh 0.7272 0.0593 0.8531
Rh 0.9407 0.2728 0.6469
S 0.0436 0.9564 0.2500
S 0.0529 0.4311 0.3430
S 0.1799 0.2113 0.1004
S 0.2113 0.1799 0.6004
S 0.2651 0.6254 0.1003
S 0.3746 0.7349 0.3997
S 0.4105 0.5895 0.7500
S 0.4311 0.0529 0.8430
S 0.5689 0.9471 0.1570
S 0.5895 0.4105 0.2500
S 0.6254 0.2651 0.6003
S 0.7349 0.3746 0.8997
S 0.7887 0.8201 0.3996
S 0.8201 0.7887 0.8996
S 0.9471 0.5689 0.6570
S 0.9564 0.0436 0.7500

Output
The value obtained for the energy relative to the elements, uncorrected is -5.136 kcal/mol of atoms.

No. 12
DFT (PBE) results for an optimized crystal structure of BiRh2S.

Cell: 7.5718 7.5718 7.5718 Å, 28.42 28.42 28.42°
Element x y z (fractional)
Bi 0.0000 0.0000 0.0000
Rh 0.1262 0.1262 0.1262
Rh 0.8738 0.8738 0.8738
S 0.5000 0.5000 0.5000

Output
The value obtained for the energy relative to the elements, uncorrected is 1.703 kcal/mol of atoms.